Record 1
Ca3LaGa2: relaxed, GGA-PBE.

Values from the calculation:
volume = 29.8 A^3/atom
ΔH_f (0 K) = -0.362 eV/atom
spin magnetization = 0.00 μB/cell

abc: 5.0710 9.5928 7.3535
angles: 90.00 90.00 90.00
Fractional coordinates of all 12 atoms:
Ca1 0.0000 0.0700 0.0000
Ca2 0.0000 0.3108 0.3669
Ca3 0.0000 0.6892 0.8669
Ca4 0.0000 0.9300 0.5000
Ca5 0.5000 0.1732 0.6857
Ca6 0.5000 0.8268 0.1857
La1 0.5000 0.4404 0.0520
La2 0.5000 0.5596 0.5520
Ga1 0.0000 0.3683 0.7927
Ga2 0.0000 0.6317 0.2927
Ga3 0.5000 0.1447 0.2550
Ga4 0.5000 0.8553 0.7550


Record 2
CaLa3Ga: relaxed, GGA-PBE.

Values from the calculation:
volume = 42.8 A^3/atom
ΔH_f (0 K) = 0.026 eV/atom
spin magnetization = 0.00 μB/cell

abc: 5.9806 5.9806 5.9806
angles: 90.00 90.00 90.00
Fractional coordinates of all 5 atoms:
Ca1 0.0000 0.0000 0.0000
La1 0.0000 0.5000 0.5000
La2 0.5000 0.0000 0.5000
La3 0.5000 0.5000 0.0000
Ga1 0.5000 0.5000 0.5000


Record 3
Li2Ca2LaGa2: relaxed, GGA-PBE.

Values from the calculation:
volume = 27.0 A^3/atom
ΔH_f (0 K) = -0.266 eV/atom
spin magnetization = 0.00 μB/cell

abc: 10.0442 10.0442 10.0442
angles: 27.36 27.36 27.36
Fractional coordinates of all 7 atoms:
Li1 0.1038 0.1038 0.1038
Li2 0.8962 0.8962 0.8962
Ca1 0.3780 0.3780 0.3780
Ca2 0.6220 0.6220 0.6220
La1 0.5000 0.5000 0.5000
Ga1 0.2306 0.2306 0.2306
Ga2 0.7694 0.7694 0.7694


Record 4
Ca2LaGaN: relaxed, GGA-PBE.

Values from the calculation:
formation energy (no corrections) = -0.724 eV/atom
volume = 24.1 A^3/atom
spin magnetization = 0.00 μB/cell

abc: 4.8841 4.8841 5.0469
angles: 90.00 90.00 90.00
Fractional coordinates of all 5 atoms:
Ca1 0.0000 0.5000 0.0000
Ca2 0.5000 0.0000 0.0000
La1 0.0000 0.0000 0.5000
Ga1 0.5000 0.5000 0.5000
N1 0.0000 0.0000 0.0000


Record 5
CaLa2GaN: relaxed, GGA-PBE.

Values from the calculation:
formation energy (no corrections) = -0.803 eV/atom
volume = 25.1 A^3/atom
spin magnetization = 0.00 μB/cell

abc: 5.0781 5.0781 4.8680
angles: 90.00 90.00 90.00
Fractional coordinates of all 5 atoms:
Ca1 0.0000 0.0000 0.0000
La1 0.0000 0.5000 0.5000
La2 0.5000 0.0000 0.5000
Ga1 0.5000 0.5000 0.0000
N1 0.0000 0.0000 0.5000


Record 6
NaCaLaGa: relaxed, GGA-PBE.

Values from the calculation:
volume = 29.0 A^3/atom
ΔH_f (0 K) = -0.182 eV/atom
spin magnetization = 0.00 μB/cell

abc: 7.7383 7.7383 7.7383
angles: 90.00 90.00 90.00
Fractional coordinates of all 16 atoms:
Na1 0.0000 0.0000 0.0000
Na2 0.0000 0.5000 0.5000
Na3 0.5000 0.0000 0.5000
Na4 0.5000 0.5000 0.0000
Ca1 0.2500 0.2500 0.2500
Ca2 0.2500 0.7500 0.7500
Ca3 0.7500 0.2500 0.7500
Ca4 0.7500 0.7500 0.2500
La1 0.2500 0.2500 0.7500
La2 0.2500 0.7500 0.2500
La3 0.7500 0.2500 0.2500
La4 0.7500 0.7500 0.7500
Ga1 0.0000 0.0000 0.5000
Ga2 0.0000 0.5000 0.0000
Ga3 0.5000 0.0000 0.0000
Ga4 0.5000 0.5000 0.5000


> Look up the spin magnetization of the fifth one.

0.00 μB/cell